1.
## CuReSiF2 (meta-GGA SCAN)

Data for a PBEsol-optimized structure of CuReSiF2.

Total energy ... -103.08 eV per formula unit

Unit cell a=3.848 b=3.848 c=5.150 alpha=90.00 beta=90.00 gamma=90.00
Space group P4/mmm (No. 123)
Symmetry-distinct sites (fractional):
Cu 0.000 0.000 0.000 (multiplicity 1)
Re 0.000 0.000 0.500 (multiplicity 1)
Si 0.500 0.500 0.000 (multiplicity 1)
F 0.000 0.500 0.500 (multiplicity 2)

=====

2.
## RbSr3Au (meta-GGA SCAN)

Data for a PBEsol-optimized structure of RbSr3Au.

Total energy ... -158.59 eV per formula unit

Unit cell a=6.200 b=6.200 c=6.200 alpha=90.00 beta=90.00 gamma=90.00
Space group Pm-3m (No. 221)
Symmetry-distinct sites (fractional):
Rb 0.000 0.000 0.000 (multiplicity 1)
Sr 0.000 0.500 0.500 (multiplicity 3)
Au 0.500 0.500 0.500 (multiplicity 1)

=====

3.
## MgZr2Cd (meta-GGA SCAN)

Data for a PBEsol-optimized structure of MgZr2Cd.

Total energy ... -97.04 eV per formula unit

Unit cell a=3.145 b=4.266 c=6.375 alpha=90.00 beta=90.00 gamma=90.00
Space group Pmm2 (No. 25)
Symmetry-distinct sites (fractional):
Mg 0.000 0.000 0.000 (multiplicity 1)
Zr 0.000 0.000 0.500 (multiplicity 1)
Zr 0.500 0.500 0.263 (multiplicity 1)
Cd 0.500 0.500 0.760 (multiplicity 1)

=====

4.
## Si2HgRu (meta-GGA SCAN)

Data for a PBEsol-optimized structure of Si2HgRu.

Total energy ... -122.73 eV per formula unit

Unit cell a=2.896 b=2.896 c=7.897 alpha=90.00 beta=90.00 gamma=90.00
Space group P4/mmm (No. 123)
Symmetry-distinct sites (fractional):
Si 0.000 0.000 0.185 (multiplicity 2)
Hg 0.500 0.500 0.500 (multiplicity 1)
Ru 0.500 0.500 0.000 (multiplicity 1)

=====

5.
## CrRu2Cl (meta-GGA SCAN)

Data for a PBEsol-optimized structure of CrRu2Cl.

Polymorph energy (0 for the lowest one) ... 0.000 eV/atom
Total energy ... -94.49 eV per formula unit

Unit cell a=2.7551 b=2.7551 c=24.2081 alpha=90.00 beta=90.00 gamma=120.00
Space group R-3m (No. 166, hexagonal axes)
Symmetry-distinct sites (fractional):
Cr 0.0000 0.0000 0.0000 (multiplicity 3)
Ru 0.0000 0.0000 0.2531 (multiplicity 6)
Cl 0.0000 0.0000 0.5000 (multiplicity 3)

=====

6.
## Cr3As (meta-GGA SCAN)

Data for a PBEsol-optimized structure of Cr3As.

Total energy ... -74.14 eV per formula unit

Unit cell a=3.014 b=4.333 c=7.490 alpha=90.00 beta=90.00 gamma=90.00
Space group Cmmm (No. 65)
Symmetry-distinct sites (fractional):
Cr 0.000 0.000 0.000 (multiplicity 2)
Cr 0.000 0.500 0.243 (multiplicity 4)
As 0.000 0.000 0.500 (multiplicity 2)

=====

7.
## Sb4MoRu (meta-GGA SCAN)

Data for a PBEsol-optimized structure of Sb4MoRu.

Total energy ... -210.36 eV per formula unit

Unit cell a=8.249 b=8.249 c=8.249 alpha=90.00 beta=90.00 gamma=90.00
Space group F-43m (No. 216)
Symmetry-distinct sites (fractional):
Sb 0.125 0.125 0.125 (multiplicity 16)
Mo 0.000 0.000 0.500 (multiplicity 4)
Ru 0.250 0.250 0.750 (multiplicity 4)

=====

8.
## TmNiSn (meta-GGA SCAN)

Data for a PBEsol-optimized structure of TmNiSn.

Total energy ... -106.16 eV per formula unit

Unit cell a=6.920 b=4.370 c=7.540 alpha=90.00 beta=90.00 gamma=90.00
Space group Pnma (No. 62)
Symmetry-distinct sites (fractional):
Tm 0.013 0.250 0.199 (multiplicity 4)
Ni 0.207 0.750 0.413 (multiplicity 4)
Sn 0.186 0.250 0.585 (multiplicity 4)

=====

9.
## K5Se3 (meta-GGA SCAN)

Data for a PBEsol-optimized structure of K5Se3.

Total energy ... -111.75 eV per formula unit

Unit cell a=12.777 b=12.777 c=5.998 alpha=90.00 beta=90.00 gamma=90.00
Space group I4/m (No. 87)
Symmetry-distinct sites (fractional):
K 0.000 0.500 0.250 (multiplicity 4)
K 0.088 0.216 0.000 (multiplicity 8)
K 0.092 0.776 0.500 (multiplicity 8)
Se 0.000 0.000 0.297 (multiplicity 4)
Se 0.154 0.656 0.000 (multiplicity 8)

=====

10.
## Li4V2P3O12 (meta-GGA SCAN)

Data for a PBEsol-optimized structure of Li4V2P3O12.

Polymorph energy (0 for the lowest one) ... 0.008 eV/atom
Total energy ... -203.88 eV per formula unit

Unit cell a=8.9434 b=8.9434 c=19.3368 alpha=90.00 beta=90.00 gamma=120.00
Space group R-3c (No. 167, hexagonal axes)
Symmetry-distinct sites (fractional):
Li 0.0000 0.0000 0.0000 (multiplicity 6)
Li 0.0000 0.4053 0.2500 (multiplicity 18)
V 0.0000 0.0000 0.1433 (multiplicity 12)
P 0.0000 0.3029 0.7500 (multiplicity 18)
O 0.0013 0.2082 0.6842 (multiplicity 36)
O 0.0039 0.1781 0.4240 (multiplicity 36)

=====

11.
## CeCo2B2C (meta-GGA SCAN)

Data for a PBEsol-optimized structure of CeCo2B2C.

Total energy ... -106.66 eV per formula unit

Unit cell a=3.585 b=3.585 c=9.941 alpha=90.00 beta=90.00 gamma=90.00
Space group I4/mmm (No. 139)
Symmetry-distinct sites (fractional):
Ce 0.000 0.000 0.000 (multiplicity 2)
Co 0.000 0.500 0.250 (multiplicity 4)
B 0.000 0.000 0.347 (multiplicity 4)
C 0.000 0.000 0.500 (multiplicity 2)

=====

12.
## PtAu2 (meta-GGA SCAN)

Data for a PBEsol-optimized structure of PtAu2.

Polymorph energy (0 for the lowest one) ... 0.007 eV/atom
Total energy ... -208.30 eV per formula unit

Unit cell a=10.693 b=2.821 c=6.789 alpha=90.00 beta=107.57 gamma=90.00
Space group Cm (No. 8)
Symmetry-distinct sites (fractional):
Pt 0.000 0.000 0.000 (multiplicity 2)
Pt 0.162 0.500 0.324 (multiplicity 2)
Au 0.108 0.500 0.723 (multiplicity 2)
Au 0.278 0.000 0.056 (multiplicity 2)
Au 0.330 0.000 0.661 (multiplicity 2)
Au 0.445 0.500 0.387 (multiplicity 2)

=====

13.
## FeReP (meta-GGA SCAN)

Data for a PBEsol-optimized structure of FeReP.

Total energy ... -99.34 eV per formula unit

Unit cell a=3.8343 b=3.8343 c=2.7949 alpha=90.00 beta=90.00 gamma=120.00
Space group P-6m2 (No. 187)
Symmetry-distinct sites (fractional):
Fe 0.0000 0.0000 0.0000 (multiplicity 1)
Re 0.6667 0.3333 0.5000 (multiplicity 1)
P 0.3333 0.6667 0.0000 (multiplicity 1)

=====

14.
## CaHgBr (meta-GGA SCAN)

Data for a PBEsol-optimized structure of CaHgBr.

Polymorph energy (0 for the lowest one) ... 0.000 eV/atom
Total energy ... -99.99 eV per formula unit

Unit cell a=7.194 b=7.194 c=7.194 alpha=90.00 beta=90.00 gamma=90.00
Space group F-43m (No. 216)
Symmetry-distinct sites (fractional):
Ca 0.000 0.000 0.000 (multiplicity 4)
Hg 0.250 0.250 0.250 (multiplicity 4)
Br 0.250 0.250 0.750 (multiplicity 4)

=====

15.
## Li2CrO3 (meta-GGA SCAN)

Data for a PBEsol-optimized structure of Li2CrO3.

Polymorph energy (0 for the lowest one) ... 0.074 eV/atom
Total energy ... -55.50 eV per formula unit

Unit cell a=9.425 b=5.517 c=4.845 alpha=90.00 beta=90.00 gamma=90.00
Space group Cmc2_1 (No. 36)
Symmetry-distinct sites (fractional):
Li 0.170 0.165 0.000 (multiplicity 8)
Cr 0.000 0.323 0.501 (multiplicity 4)
O 0.000 0.365 0.126 (multiplicity 4)
O 0.153 0.175 0.596 (multiplicity 8)

=====

16.
## GeSb2Au (meta-GGA SCAN)

Data for a PBEsol-optimized structure of GeSb2Au.

Total energy ... -162.89 eV per formula unit

Unit cell a=6.210 b=6.210 c=11.981 alpha=90.00 beta=90.00 gamma=90.00
Space group I-42d (No. 122)
Symmetry-distinct sites (fractional):
Ge 0.000 0.000 0.000 (multiplicity 4)
Sb 0.246 0.250 0.625 (multiplicity 8)
Au 0.000 0.000 0.500 (multiplicity 4)

=====

17.
## Sr2MoF (meta-GGA SCAN)

Data for a PBEsol-optimized structure of Sr2MoF.

Total energy ... -82.71 eV per formula unit

Unit cell a=7.553 b=7.553 c=7.553 alpha=90.00 beta=90.00 gamma=90.00
Space group Fm-3m (No. 225)
Symmetry-distinct sites (fractional):
Sr 0.250 0.250 0.250 (multiplicity 8)
Mo 0.000 0.000 0.000 (multiplicity 4)
F 0.000 0.000 0.500 (multiplicity 4)

=====

18.
## IrRuN2O (meta-GGA SCAN)

Data for a PBEsol-optimized structure of IrRuN2O.

Total energy ... -123.95 eV per formula unit

Unit cell a=3.830 b=3.830 c=3.703 alpha=90.00 beta=90.00 gamma=90.00
Space group P4/mmm (No. 123)
Symmetry-distinct sites (fractional):
Ir 0.000 0.000 0.000 (multiplicity 1)
Ru 0.500 0.500 0.500 (multiplicity 1)
N 0.000 0.500 0.500 (multiplicity 2)
O 0.500 0.500 0.000 (multiplicity 1)

=====

19.
## Al2C (meta-GGA SCAN)

Data for a PBEsol-optimized structure of Al2C.

Total energy ... -25.82 eV per formula unit

Unit cell a=3.0812 b=3.0812 c=4.4572 alpha=90.00 beta=90.00 gamma=120.00
Space group P-3m1 (No. 164)
Symmetry-distinct sites (fractional):
Al 0.3333 0.6667 0.2669 (multiplicity 2)
C 0.0000 0.0000 0.5000 (multiplicity 1)

=====

20.
## CsIn2Ge2 (meta-GGA SCAN)

Data for a PBEsol-optimized structure of CsIn2Ge2.

Total energy ... -143.25 eV per formula unit

Unit cell a=4.900 b=4.900 c=11.487 alpha=90.00 beta=90.00 gamma=90.00
Space group I4/mmm (No. 139)
Symmetry-distinct sites (fractional):
Cs 0.000 0.000 0.000 (multiplicity 2)
In 0.000 0.000 0.372 (multiplicity 4)
Ge 0.000 0.500 0.250 (multiplicity 4)